Arrangement one

CsLiCd3: optimized geometry, PBE.

Lattice parameters (Å, degrees): 6.8803 6.8803 6.8803 90.00 90.00 90.00
Positions (direct):
Cs 0.0000 0.0000 0.0000
Li 0.5000 0.5000 0.5000
Cd 0.0000 0.0000 0.5000
Cd 0.0000 0.5000 0.0000
Cd 0.5000 0.0000 0.0000

Calculated volume: 325.7 Å³/cell
D(E_F): 3.14 states/eV/f.u.
SG: Pm-3m



Arrangement two

CsLiCd3: optimized geometry, PBE.

Lattice parameters (Å, degrees): 5.5184 5.5184 5.5184 90.00 90.00 90.00
Positions (direct):
Cs 0.0000 0.0000 0.0000
Li 0.5000 0.5000 0.5000
Cd 0.0000 0.5000 0.5000
Cd 0.5000 0.0000 0.5000
Cd 0.5000 0.5000 0.0000

Calculated volume: 168.1 Å³/cell
D(E_F): 3.24 states/eV/f.u.
SG: Pm-3m



The calculated energies rank the structures as follows, beginning with the most stable: arrangement two, arrangement one.



Arrangement one

CsCd2Mo2: optimized geometry, PBE.

Lattice parameters (Å, degrees): 8.8749 8.8749 3.0779 90.00 90.00 90.00
Positions (direct):
Cs 0.0000 0.0000 0.0000
Cs 0.5000 0.5000 0.0000
Cd 0.1903 0.3097 0.5000
Cd 0.3097 0.8097 0.5000
Cd 0.6903 0.1903 0.5000
Cd 0.8097 0.6903 0.5000
Mo 0.0903 0.5903 0.0000
Mo 0.4097 0.0903 0.0000
Mo 0.5903 0.9097 0.0000
Mo 0.9097 0.4097 0.0000

Calculated volume: 242.4 Å³/cell
D(E_F): 3.44 states/eV/f.u.
SG: P4/mbm



Arrangement two

CsCd2Mo2: optimized geometry, PBE.

Lattice parameters (Å, degrees): 6.1101 6.1101 6.1101 126.31 126.31 79.39
Positions (direct):
Cs 0.0000 0.0000 0.0000
Cd 0.2500 0.7500 0.5000
Cd 0.7500 0.2500 0.5000
Mo 0.3902 0.3902 0.0000
Mo 0.6098 0.6098 0.0000

Calculated volume: 143.2 Å³/cell
D(E_F): 4.95 states/eV/f.u.
SG: I4/mmm



The calculated energies rank the structures as follows, beginning with the most stable: arrangement one, arrangement two.



Arrangement one

CsCdTeMo: optimized geometry, PBE.

Lattice parameters (Å, degrees): 10.1412 10.1412 10.1412 20.90 20.90 20.90
Positions (direct):
Cs 0.0000 0.0000 0.0000
Cd 0.4401 0.4401 0.4401
Te 0.5619 0.5619 0.5619
Mo 0.8398 0.8398 0.8398

Calculated volume: 116.2 Å³/cell
D(E_F): 2.73 states/eV/f.u.
SG: R3m



Arrangement two

CsCdTeMo: optimized geometry, PBE.

Lattice parameters (Å, degrees): 3.8379 3.8379 9.6868 101.50 101.50 60.12
Positions (direct):
Cs 0.0000 0.0000 0.0000
Cd 0.2220 0.2220 0.6686
Te 0.7693 0.7693 0.3095
Mo 0.4906 0.4906 0.4735

Calculated volume: 120.4 Å³/cell
D(E_F): 2.42 states/eV/f.u.
SG: Cm



The calculated energies rank the structures as follows, beginning with the most stable: arrangement one, arrangement two.



Arrangement one

CsCdTeMo: optimized geometry, PBE.

Lattice parameters (Å, degrees): 3.6827 3.6827 9.9064 90.00 90.00 120.00
Positions (direct):
Cs 0.0000 0.0000 0.0000
Cd 0.6667 0.3333 0.3193
Te 0.6667 0.3333 0.6856
Mo 0.3333 0.6667 0.5192

Calculated volume: 116.4 Å³/cell
D(E_F): 2.63 states/eV/f.u.
SG: P3m1



Arrangement two

CsCdTeMo: optimized geometry, PBE.

Lattice parameters (Å, degrees): 7.2540 7.2540 5.3691 111.70 111.70 40.67
Positions (direct):
Cs 0.0000 0.0000 0.0000
Cd 0.6879 0.6879 0.6898
Te 0.3130 0.3130 0.3147
Mo 0.7492 0.7492 0.2510

Calculated volume: 169.2 Å³/cell
D(E_F): 2.93 states/eV/f.u.
SG: Cm



The calculated energies rank the structures as follows, beginning with the most stable: arrangement one, arrangement two.



Arrangement one

CsNaCd: optimized geometry, PBE.

Lattice parameters (Å, degrees): 5.7127 5.7127 5.2673 90.00 90.00 120.00
Positions (direct):
Cs 0.0000 0.0000 0.0000
Na 0.3333 0.6667 0.5000
Cd 0.6667 0.3333 0.5000

Calculated volume: 148.9 Å³/cell
D(E_F): 0.96 states/eV/f.u.
SG: P-6m2



Arrangement two

CsNaCd: optimized geometry, PBE.

Lattice parameters (Å, degrees): 6.1555 6.1555 6.1555 60.00 60.00 60.00
Positions (direct):
Cs 0.0000 0.0000 0.0000
Na 0.5000 0.5000 0.5000
Cd 0.7500 0.7500 0.7500

Calculated volume: 164.9 Å³/cell
D(E_F): 1.12 states/eV/f.u.
SG: F-43m



Arrangement three

CsNaCd: optimized geometry, PBE.

Lattice parameters (Å, degrees): 10.0087 10.0087 7.9373 90.00 90.00 133.61
Positions (direct):
Cs 0.1749 0.8251 0.9997
Cs 0.3251 0.6749 0.4997
Cs 0.6749 0.3251 0.5003
Cs 0.8251 0.1749 0.0003
Na 0.2502 0.2498 0.2500
Na 0.2498 0.2502 0.7500
Na 0.7502 0.7498 0.2500
Na 0.7498 0.7502 0.7500
Cd 0.0918 0.9082 0.5004
Cd 0.4082 0.5918 0.0004
Cd 0.5918 0.4082 0.9996
Cd 0.9082 0.0918 0.4996

Calculated volume: 575.7 Å³/cell
D(E_F): 1.83 states/eV/f.u.
SG: Cmce



Arrangement four

CsNaCd: optimized geometry, PBE.

Lattice parameters (Å, degrees): 8.8498 8.8498 8.8498 147.20 127.28 63.50
Positions (direct):
Cs 0.1970 0.1970 0.0000
Cs 0.8030 0.8030 0.0000
Na 0.2740 0.5000 0.7740
Na 0.7260 0.5000 0.2260
Cd 0.4037 0.9037 0.5000
Cd 0.5963 0.0963 0.5000

Calculated volume: 295.6 Å³/cell
D(E_F): 1.33 states/eV/f.u.
SG: Immm



The calculated energies rank the structures as follows, beginning with the most stable: arrangement three, arrangement four, arrangement one, arrangement two.



Arrangement one

CsNaCd: optimized geometry, PBE.

Lattice parameters (Å, degrees): 7.6317 7.6317 7.6317 146.15 146.15 48.62
Positions (direct):
Cs 0.0000 0.0000 0.0000
Na 0.2770 0.2770 0.0000
Cd 0.6908 0.6908 0.0000

Calculated volume: 137.3 Å³/cell
D(E_F): 1.51 states/eV/f.u.
SG: I4mm



Arrangement two

CsNaCd: optimized geometry, PBE.

Lattice parameters (Å, degrees): 5.5918 5.5918 12.2321 103.07 103.07 59.72
Positions (direct):
Cs 0.2257 0.2257 0.1799
Cs 0.7743 0.7743 0.8201
Na 0.3494 0.3494 0.5464
Na 0.6506 0.6506 0.4536
Cd 0.0423 0.0423 0.6212
Cd 0.9577 0.9577 0.3788

Calculated volume: 318.9 Å³/cell
D(E_F): 2.59 states/eV/f.u.
SG: C2/m



The calculated energies rank the structures as follows, beginning with the most stable: arrangement two, arrangement one.



Arrangement one

CsNa3Cd: optimized geometry, PBE.

Lattice parameters (Å, degrees): 10.7127 10.7127 8.2273 101.42 101.42 70.37
Positions (direct):
Cs 0.0332 0.9668 0.7500
Cs 0.3586 0.6414 0.2500
Cs 0.6414 0.3586 0.7500
Cs 0.9668 0.0332 0.2500
Na 0.0184 0.3559 0.0889
Na 0.0265 0.3650 0.5987
Na 0.3117 0.3147 0.4060
Na 0.3147 0.3117 0.9060
Na 0.3559 0.0184 0.5889
Na 0.3650 0.0265 0.0987
Na 0.6350 0.9735 0.9013
Na 0.6441 0.9816 0.4111
Na 0.6853 0.6883 0.0940
Na 0.6883 0.6853 0.5940
Na 0.9735 0.6350 0.4013
Na 0.9816 0.6441 0.9111
Cd 0.2390 0.5827 0.7077
Cd 0.4173 0.7610 0.7923
Cd 0.5827 0.2390 0.2077
Cd 0.7610 0.4173 0.2923

Calculated volume: 862.8 Å³/cell
D(E_F): 3.36 states/eV/f.u.
SG: C2/c



Arrangement two

CsNa3Cd: optimized geometry, PBE.

Lattice parameters (Å, degrees): 6.1775 6.1775 6.1775 90.00 90.00 90.00
Positions (direct):
Cs 0.0000 0.0000 0.0000
Na 0.0000 0.5000 0.5000
Na 0.5000 0.0000 0.5000
Na 0.5000 0.5000 0.0000
Cd 0.5000 0.5000 0.5000

Calculated volume: 235.7 Å³/cell
D(E_F): 3.75 states/eV/f.u.
SG: Pm-3m



Arrangement three

CsNa3Cd: optimized geometry, PBE.

Lattice parameters (Å, degrees): 8.9334 8.9334 6.5713 90.00 90.00 126.35
Positions (direct):
Cs 0.0915 0.9085 0.7500
Cs 0.9085 0.0915 0.2500
Na 0.1375 0.4391 0.7500
Na 0.3196 0.6804 0.2500
Na 0.4391 0.1375 0.2500
Na 0.5609 0.8625 0.7500
Na 0.6804 0.3196 0.7500
Na 0.8625 0.5609 0.2500
Cd 0.5000 0.5000 0.0000
Cd 0.5000 0.5000 0.5000

Calculated volume: 422.4 Å³/cell
D(E_F): 2.92 states/eV/f.u.
SG: Cmcm



Arrangement four

CsNa3Cd: optimized geometry, PBE.

Lattice parameters (Å, degrees): 7.6215 7.6215 7.6215 90.00 90.00 90.00
Positions (direct):
Cs 0.0000 0.0000 0.0000
Na 0.0000 0.0000 0.5000
Na 0.0000 0.5000 0.0000
Na 0.5000 0.0000 0.0000
Cd 0.5000 0.5000 0.5000

Calculated volume: 442.7 Å³/cell
D(E_F): 8.85 states/eV/f.u.
SG: Pm-3m



The calculated energies rank the structures as follows, beginning with the most stable: arrangement three, arrangement one, arrangement two, arrangement four.



Arrangement one

Cs3NaCd: optimized geometry, PBE.

Lattice parameters (Å, degrees): 7.4966 7.4966 7.4966 90.00 90.00 90.00
Positions (direct):
Cs 0.0000 0.0000 0.5000
Cs 0.0000 0.5000 0.0000
Cs 0.5000 0.0000 0.0000
Na 0.5000 0.5000 0.5000
Cd 0.0000 0.0000 0.0000

Calculated volume: 421.3 Å³/cell
D(E_F): 7.86 states/eV/f.u.
SG: Pm-3m



Arrangement two

Cs3NaCd: optimized geometry, PBE.

Lattice parameters (Å, degrees): 16.2087 16.2087 5.7147 90.00 90.00 90.00
Positions (direct):
Cs 0.0673 0.3211 0.0000
Cs 0.1116 0.8884 0.5000
Cs 0.1789 0.5673 0.5000
Cs 0.3211 0.0673 0.0000
Cs 0.3884 0.3884 0.0000
Cs 0.4327 0.8211 0.5000
Cs 0.5673 0.1789 0.5000
Cs 0.6116 0.6116 0.0000
Cs 0.6789 0.9327 0.0000
Cs 0.8211 0.4327 0.5000
Cs 0.8884 0.1116 0.5000
Cs 0.9327 0.6789 0.0000
Na 0.1483 0.1483 0.5000
Na 0.3517 0.6483 0.0000
Na 0.6483 0.3517 0.0000
Na 0.8517 0.8517 0.5000
Cd 0.0677 0.0677 0.0000
Cd 0.4323 0.5677 0.5000
Cd 0.5677 0.4323 0.5000
Cd 0.9323 0.9323 0.0000

Calculated volume: 1501.4 Å³/cell
D(E_F): 3.88 states/eV/f.u.
SG: P4_2/mnm



The calculated energies rank the structures as follows, beginning with the most stable: arrangement two, arrangement one.